[1]
Al2SnAsOs after structural relaxation, computed with PBE-GGA.

a b c (Å): 4.648 4.648 5.264
angles (deg): 90.00 90.00 90.00
Space group P4/mmm (No. 123)
Symmetry-distinct sites (fractional):
Al: 0.000 0.500 0.000
Sn: 0.000 0.000 0.500
As: 0.000 0.000 0.000
Os: 0.500 0.500 0.500

Computed properties:
The value obtained for the calculated formation energy is 1.337 eV per atom. Its total magnetic moment is 1.4 μB per formula unit.

***

[2]
AlAs4P after structural relaxation, computed with PBE-GGA.

a b c (Å): 7.811 7.811 7.811
angles (deg): 90.00 90.00 90.00
Space group F-43m (No. 216)
Symmetry-distinct sites (fractional):
Al: 0.000 0.000 0.000
As: 0.126 0.126 0.374
P: 0.250 0.250 0.750

Computed properties:
The value obtained for the calculated formation energy is 0.637 eV per atom. Its total magnetic moment is 0.0 μB per formula unit.

***

[3]
AlAsP3 after structural relaxation, computed with PBE-GGA.

a b c (Å): 4.613 4.613 4.613
angles (deg): 90.00 90.00 90.00
Space group Pm-3m (No. 221)
Symmetry-distinct sites (fractional):
Al: 0.000 0.000 0.000
As: 0.500 0.500 0.500
P: 0.000 0.000 0.500

Computed properties:
The value obtained for the calculated formation energy is 0.817 eV per atom. As for the excess energy over the best structure of this formula in the dataset: 0 meV/atom. Its total magnetic moment is 0.0 μB per formula unit.

***

[4]
AlAsPS2 after structural relaxation, computed with PBE-GGA.

a b c (Å): 4.544 4.544 4.715
angles (deg): 90.00 90.00 90.00
Space group P4/mmm (No. 123)
Symmetry-distinct sites (fractional):
Al: 0.000 0.000 0.000
As: 0.500 0.500 0.500
P: 0.000 0.000 0.500
S: 0.000 0.500 0.000

Computed properties:
As for the formation energy (no corrections): 427 meV per atom. As for the excess energy over the best structure of this formula in the dataset: 0 meV/atom. Its total magnetic moment is 0.0 μB per formula unit.

***

[5]
AlAsP2S after structural relaxation, computed with PBE-GGA.

a b c (Å): 4.677 4.677 4.481
angles (deg): 90.00 90.00 90.00
Space group P4/mmm (No. 123)
Symmetry-distinct sites (fractional):
Al: 0.000 0.000 0.000
As: 0.500 0.500 0.500
P: 0.000 0.500 0.000
S: 0.000 0.000 0.500

Computed properties:
As for the formation energy (no corrections): 632 meV per atom. As for the excess energy over the best structure of this formula in the dataset: 0 meV/atom. Its total magnetic moment is 0.0 μB per formula unit.

***

[6]
AlAsPSe2 after structural relaxation, computed with PBE-GGA.

a b c (Å): 4.783 4.783 4.893
angles (deg): 90.00 90.00 90.00
Space group P4/mmm (No. 123)
Symmetry-distinct sites (fractional):
Al: 0.000 0.000 0.000
As: 0.000 0.000 0.500
P: 0.500 0.500 0.500
Se: 0.000 0.500 0.000

Computed properties:
As for the formation energy (no corrections): 635 meV per atom. As for the excess energy over the best structure of this formula in the dataset: 129 meV/atom. Its total magnetic moment is 0.0 μB per formula unit.

***

[7]
AlAs2PSe after structural relaxation, computed with PBE-GGA.

a b c (Å): 4.737 4.737 4.962
angles (deg): 90.00 90.00 90.00
Space group P4/mmm (No. 123)
Symmetry-distinct sites (fractional):
Al: 0.000 0.000 0.000
As: 0.000 0.500 0.500
P: 0.500 0.500 0.500
Se: 0.500 0.500 0.000

Computed properties:
As for the formation energy (no corrections): 609 meV per atom. As for the excess energy over the best structure of this formula in the dataset: 0 meV/atom. Its total magnetic moment is 0.0 μB per formula unit.

***

[8]
AlAsPSe2 after structural relaxation, computed with PBE-GGA.

a b c (Å): 4.908 4.908 4.723
angles (deg): 90.00 90.00 90.00
Space group P4/mmm (No. 123)
Symmetry-distinct sites (fractional):
Al: 0.000 0.000 0.000
As: 0.500 0.500 0.000
P: 0.500 0.500 0.500
Se: 0.000 0.500 0.500

Computed properties:
As for the formation energy (no corrections): 506 meV per atom. As for the excess energy over the best structure of this formula in the dataset: 0 meV/atom. Its total magnetic moment is 0.0 μB per formula unit.